Compound: PrCdSb
Source: OQMD
Functional: PBE
Structure: optimized geometry

Output
theoretical density: 6.134 Mg/m³
energy above the most stable polymorph in this dataset: 0.0 meV/atom
raw total energy: -0.135 hartree per atom

a = 5.237 Å, b = 5.237 Å, c = 5.237 Å
α = 60.00°, β = 60.00°, γ = 60.00°
Atoms (fractional coordinates):
Sb 0.750 0.750 0.750
Pr 0.000 0.000 0.000
Cd 0.250 0.250 0.250